No. 1
Below is an optimized crystal structure of SiAs4Pt, with properties calculated at the PBE-GGA level.

Uncorrected energy, eV/atom: -4.300
Space-group type: F-43m, No. 216

Geometry as POSCAR:
```
SiAs4Pt
1.0
0.000 3.862 3.862
3.862 0.000 3.862
3.862 3.862 0.000
Si As Pt
1 4 1
Cartesian
0.000 0.000 0.000
4.830 2.895 2.895
2.895 4.830 2.895
2.895 2.895 4.830
4.830 4.830 4.830
1.931 1.931 1.931
```

=====

No. 2
Below is an optimized crystal structure of Si2AsPt2, with properties calculated at the PBE-GGA level.

Uncorrected energy, eV/atom: -5.680
Space-group type: P4/mbm, No. 127

Geometry as POSCAR:
```
Si2AsPt2
1.0
7.432 0.000 0.000
0.000 7.432 0.000
0.000 0.000 2.879
Si As Pt
4 2 4
Cartesian
1.141 2.575 0.000
2.575 6.291 0.000
4.857 1.141 0.000
6.291 4.857 0.000
0.000 0.000 1.439
3.716 3.716 1.439
1.027 4.743 1.439
2.689 1.027 1.439
4.743 6.405 1.439
6.405 2.689 1.439
```

=====

No. 3
Below is an optimized crystal structure of SiAs2Pt, with properties calculated at the PBE-GGA level.

Uncorrected energy, eV/atom: -5.268
Space-group type: Pm, No. 6

Geometry as POSCAR:
```
SiAs2Pt
1.0
2.762 0.000 0.000
0.000 3.456 0.000
-1.354 0.000 7.390
Si As Pt
1 2 1
Cartesian
0.000 0.000 0.000
1.395 0.000 3.288
1.402 1.728 5.388
1.386 1.728 1.273
```

=====

No. 4
Below is an optimized crystal structure of SiAsPt2, with properties calculated at the PBE-GGA level.

Uncorrected energy, eV/atom: -5.837
Space-group type: P4mm, No. 99

Geometry as POSCAR:
```
SiAsPt2
1.0
3.572 0.000 0.000
0.000 3.572 0.000
0.000 0.000 5.113
Si As Pt
1 1 2
Cartesian
0.000 0.000 0.000
1.786 1.786 1.881
0.000 0.000 2.586
1.786 1.786 4.437
```

=====

No. 5
Below is an optimized crystal structure of SiAs2Pt, with properties calculated at the PBE-GGA level.

Uncorrected energy, eV/atom: -5.155
Space-group type: P2/m, No. 10

Geometry as POSCAR:
```
SiAs2Pt
1.0
2.698 0.000 0.000
0.000 3.649 0.000
-0.053 0.000 7.374
Si As Pt
1 2 1
Cartesian
0.000 0.000 0.000
-0.012 1.825 1.896
2.658 1.825 5.478
-0.027 0.000 3.687
```

=====

No. 6
Below is an optimized crystal structure of SiAs3Pt, with properties calculated at the PBE-GGA level.

Space-group type: Pm-3m, No. 221
Excess energy over the best structure of this formula in the dataset, meV/atom: 45

Geometry as POSCAR:
```
SiAs3Pt
1.0
4.919 0.000 0.000
0.000 4.919 0.000
0.000 0.000 4.919
Si As Pt
1 3 1
Cartesian
0.000 0.000 0.000
0.000 2.459 2.459
2.459 0.000 2.459
2.459 2.459 0.000
2.459 2.459 2.459
```

=====

No. 7
Below is an optimized crystal structure of SiAsPt2, with properties calculated at the PBE-GGA level.

Uncorrected energy, eV/atom: -5.833
Space-group type: C2/m, No. 12

Geometry as POSCAR:
```
SiAsPt2
1.0
3.687 -1.471 0.000
3.687 1.471 0.000
-1.271 0.000 6.067
Si As Pt
1 1 2
Cartesian
0.000 0.000 0.000
3.052 0.000 3.033
0.934 0.000 4.806
5.169 0.000 1.260
```

=====

No. 8
Below is an optimized crystal structure of SiAsPt2, with properties calculated at the PBE-GGA level.

Uncorrected energy, eV/atom: -5.644
Space-group type: Immm, No. 71

Geometry as POSCAR:
```
SiAsPt2
1.0
-1.973 2.430 3.429
1.973 -2.430 3.429
1.973 2.430 -3.429
Si As Pt
1 1 2
Cartesian
0.000 0.000 0.000
0.000 0.000 3.429
1.973 0.000 1.455
0.000 2.430 1.974
```